Record 1
Below is a relaxed SmHoFe6Ni2B2 crystal, with properties calculated at the PBE level.

Total energy: -86.438 eV per cell
SG: P6/mmm (191)
Relative energy among the computed polymorphs: 20 meV per atom
Total magnetization: 11.541 μB/f.u.

Cell lengths 5.0299, 5.0299, 7.0730 Å; angles 90.00, 90.00, 120.00 degrees
Last column: nearest neighbours and their distance in Å.
Sites, in units of the cell vectors:
Sm (0.0000, 0.0000, 0.0000)  6 B 2.90, 12 Fe 2.94
Ho (0.0000, 0.0000, 0.5000)  6 Ni 2.90, 12 Fe 3.22
Fe (0.0000, 0.5000, 0.2148)  2 B 2.10
Fe (0.0000, 0.5000, 0.7852)  2 B 2.10
Fe (0.5000, 0.0000, 0.2148)  2 B 2.10
Fe (0.5000, 0.0000, 0.7852)  2 B 2.10
Fe (0.5000, 0.5000, 0.2148)  2 B 2.10
Fe (0.5000, 0.5000, 0.7852)  2 B 2.10
Ni (0.3333, 0.6667, 0.5000)  6 Fe 2.49
Ni (0.6667, 0.3333, 0.5000)  6 Fe 2.49
B (0.3333, 0.6667, 0.0000)  6 Fe 2.10
B (0.6667, 0.3333, 0.0000)  6 Fe 2.10

***

Record 2
Below is a relaxed Y2Re2O5 crystal, with properties calculated at the PBE level.

Total energy: -79.089 eV per cell
SG: P4/mmm (123)
Relative energy among the computed polymorphs: 0 meV per atom
Total magnetization: 0.001 μB/f.u.

Cell lengths 3.9788, 3.9788, 6.7691 Å; angles 90.00, 90.00, 90.00 degrees
Last column: nearest neighbours and their distance in Å.
Sites, in units of the cell vectors:
Y (0.0000, 0.0000, 0.0000)  8 O 2.57
Y (0.0000, 0.0000, 0.5000)  12 O 2.65-2.81
Re (0.5000, 0.5000, 0.1753)  5 O 2.04-2.20
Re (0.5000, 0.5000, 0.8247)  5 O 2.04-2.20
O (0.0000, 0.5000, 0.2409)  2 Re 2.04
O (0.0000, 0.5000, 0.7591)  2 Re 2.04
O (0.5000, 0.0000, 0.2409)  2 Re 2.04
O (0.5000, 0.0000, 0.7591)  2 Re 2.04
O (0.5000, 0.5000, 0.5000)  2 Re 2.20

***

Please write out number 2 again, unchanged.
Below is a relaxed Y2Re2O5 crystal, with properties calculated at the PBE level.

Total energy: -79.089 eV per cell
SG: P4/mmm (123)
Relative energy among the computed polymorphs: 0 meV per atom
Total magnetization: 0.001 μB/f.u.

Cell lengths 3.9788, 3.9788, 6.7691 Å; angles 90.00, 90.00, 90.00 degrees
Last column: nearest neighbours and their distance in Å.
Sites, in units of the cell vectors:
Y (0.0000, 0.0000, 0.0000)  8 O 2.57
Y (0.0000, 0.0000, 0.5000)  12 O 2.65-2.81
Re (0.5000, 0.5000, 0.1753)  5 O 2.04-2.20
Re (0.5000, 0.5000, 0.8247)  5 O 2.04-2.20
O (0.0000, 0.5000, 0.2409)  2 Re 2.04
O (0.0000, 0.5000, 0.7591)  2 Re 2.04
O (0.5000, 0.0000, 0.2409)  2 Re 2.04
O (0.5000, 0.0000, 0.7591)  2 Re 2.04
O (0.5000, 0.5000, 0.5000)  2 Re 2.20